Entry 1:
Ba3La4O9 | Alexandria via LeMat-Bulk | GGA-PBE | relaxed; calculated density = 5.730 Mg/m³; total magnetic moment = 0.00 μB per atom; crystal system = trigonal; total DFT energy (no corrections) = -7.432 eV per atom
1.0
6.0384 0.0000 2.1313
2.6431 5.4292 2.1313
-0.0618 -0.0386 9.7949
Ba O La
3 9 4
Direct
0.0039 0.0039 0.9883
0.4318 0.4318 0.7046
0.8319 0.8319 0.5043
0.8229 0.4210 0.7486
0.3764 0.5828 0.0890
0.4440 0.8654 0.4263
0.2643 0.4440 0.4263
0.5828 0.9518 0.0890
0.9518 0.3764 0.0890
0.8654 0.2643 0.4263
0.4210 0.0075 0.7486
0.0075 0.8229 0.7486
0.1352 0.1352 0.5945
0.5716 0.5716 0.2851
0.2643 0.2643 0.2071
0.6990 0.6990 0.9030

***

Entry 2:
Ba3LaPa2O9 | Alexandria via LeMat-Bulk | GGA-PBE | relaxed; calculated density = 6.865 Mg/m³; total magnetic moment = 0.07 μB per atom; crystal system = trigonal; total DFT energy (no corrections) = -8.168 eV per atom
1.0
-2.9355 5.6399 0.8690
0.2683 -2.6088 -5.8569
-6.7689 -3.7315 1.3520
O Ba Pa La
9 3 2 1
Direct
0.3479 0.1740 0.6743
0.8260 0.1740 0.6743
0.1740 0.8260 0.3257
0.1740 0.3479 0.3257
0.8260 0.6521 0.6743
0.0000 0.5000 0.0000
0.5000 0.5000 0.0000
0.6521 0.8260 0.3257
0.5000 0.0000 0.0000
0.6667 0.3333 0.3449
0.0000 0.0000 0.0000
0.3333 0.6667 0.6551
0.6667 0.3333 0.8369
0.3333 0.6667 0.1631
0.0000 0.0000 0.5000

***

Entry 3:
Ba2LaPaO6 | Alexandria via LeMat-Bulk | GGA-PBE | relaxed; calculated density = 6.537 Mg/m³; total magnetic moment = 0.00 μB per atom; crystal system = cubic; relative energy among the computed polymorphs = 72 meV per atom
1.0
3.7914 -4.5868 -2.4402
0.3282 -5.7555 2.8521
-2.6032 -5.1499 -2.8407
La O Ba Pa
1 6 2 1
Direct
0.5000 0.5000 0.5000
0.7604 0.2396 0.7604
0.2396 0.7604 0.2396
0.7604 0.7604 0.2396
0.7604 0.2396 0.2396
0.2396 0.7604 0.7604
0.2396 0.2396 0.7604
0.2500 0.2500 0.2500
0.7500 0.7500 0.7500
0.0000 0.0000 0.0000

***

Entry 4:
Ba2LaPaO6 | Alexandria via LeMat-Bulk | GGA-PBE | relaxed; calculated density = 6.757 Mg/m³; total magnetic moment = 0.00 μB per atom; crystal system = monoclinic; relative energy among the computed polymorphs = 0 meV per atom
1.0
6.3427 0.0000 -0.0293
0.0000 6.3882 0.0000
0.0132 0.0000 8.9836
Pa O Ba La
2 12 4 2
Direct
0.0000 0.5000 0.0000
0.5000 0.0000 0.5000
0.7018 0.2734 0.5493
0.7723 0.7972 0.5449
0.2723 0.7028 0.0449
0.5867 0.0269 0.2633
0.2982 0.7266 0.4507
0.4133 0.9731 0.7367
0.0867 0.4731 0.7633
0.9133 0.5269 0.2367
0.2018 0.2266 0.0493
0.7982 0.7734 0.9507
0.2277 0.2028 0.4551
0.7277 0.2972 0.9551
0.5092 0.5307 0.7502
0.0092 0.9693 0.2502
0.4908 0.4693 0.2498
0.9908 0.0307 0.7498
0.0000 0.5000 0.5000
0.5000 0.0000 0.0000

***

Entry 5:
Ba2LaPbO | Alexandria via LeMat-Bulk | GGA-PBE | relaxed; calculated density = 6.776 Mg/m³; total magnetic moment = 0.00 μB per atom; crystal system = tetragonal; total DFT energy (no corrections) = -4.793 eV per atom
1.0
-4.2050 0.8678 -3.4991
-3.5198 -2.1503 3.6967
-0.7157 4.6195 2.0057
La Ba O Pb
1 2 1 1
Direct
0.0000 0.0000 0.5000
0.5000 0.0000 0.0000
0.0000 0.5000 0.0000
0.0000 0.0000 0.0000
0.5000 0.5000 0.5000

***

Entry 6:
Ba2LaPbO5 | Alexandria via LeMat-Bulk | GGA-PBE | relaxed; calculated density = 6.721 Mg/m³; total magnetic moment = 0.00 μB per atom; crystal system = orthorhombic; total DFT energy (no corrections) = -6.466 eV per atom
1.0
3.8065 0.0000 0.0000
-1.9033 7.7662 0.0000
0.0000 0.0000 11.7129
Ba O Pb La
4 10 2 2
Direct
0.8832 0.7663 0.2048
0.1343 0.2686 0.2785
0.1168 0.2337 0.7048
0.8657 0.7314 0.7785
0.7017 0.4033 0.8723
0.2806 0.5612 0.6382
0.4964 0.9928 0.7889
0.3722 0.7444 0.0103
0.0586 0.1172 0.0540
0.7194 0.4388 0.1382
0.9414 0.8828 0.5540
0.5036 0.0072 0.2889
0.2983 0.5967 0.3723
0.6278 0.2556 0.5103
0.5145 0.0290 0.9747
0.4855 0.9710 0.4747
0.7790 0.5579 0.5023
0.2210 0.4421 0.0023

***

Entry 7:
BaLa4Pb3O12 | Alexandria via LeMat-Bulk | GGA-PBE | relaxed; calculated density = 6.950 Mg/m³; total magnetic moment = 0.10 μB per atom; crystal system = cubic; total DFT energy (no corrections) = -6.828 eV per atom
1.0
-0.2931 2.7053 7.2690
-5.5980 -5.2779 -1.0240
6.9172 -3.2875 -1.2601
O Pb La Ba
12 3 4 1
Direct
0.1430 0.3112 0.8318
0.4795 0.3112 0.1682
0.6888 0.8318 0.5205
0.8318 0.5205 0.6888
0.1682 0.8570 0.6888
0.6888 0.1682 0.8570
0.1682 0.4795 0.3112
0.3112 0.8318 0.1430
0.5205 0.6888 0.8318
0.8570 0.6888 0.1682
0.8318 0.1430 0.3112
0.3112 0.1682 0.4795
0.5000 0.5000 0.0000
0.0000 0.5000 0.5000
0.5000 0.0000 0.5000
0.0000 0.5000 0.0000
0.5000 0.5000 0.5000
0.0000 0.0000 0.5000
0.5000 0.0000 0.0000
0.0000 0.0000 0.0000

***

Entry 8:
Ba2LaPdO5 | Alexandria via LeMat-Bulk | GGA-PBE | relaxed; calculated density = 6.590 Mg/m³; total magnetic moment = 0.12 μB per atom; crystal system = tetragonal; total DFT energy (no corrections) = -6.281 eV per atom
1.0
6.3816 0.0000 0.0000
0.0000 6.8832 0.0000
0.0000 0.0000 6.8832
Pd Ba O La
2 4 10 2
Direct
0.0000 0.5000 0.0000
0.0000 0.0000 0.5000
0.5000 0.1664 0.3336
0.5000 0.3336 0.8336
0.5000 0.8336 0.6664
0.5000 0.6664 0.1664
0.2034 0.3440 0.1560
0.5000 0.5000 0.5000
0.5000 0.0000 0.0000
0.2034 0.8440 0.3440
0.7966 0.3440 0.1560
0.7966 0.1560 0.6560
0.7966 0.8440 0.3440
0.7966 0.6560 0.8440
0.2034 0.1560 0.6560
0.2034 0.6560 0.8440
0.0000 0.5000 0.5000
0.0000 0.0000 0.0000

***

Entry 9:
BaLa2PtO5 | Alexandria via LeMat-Bulk | GGA-PBE | relaxed; calculated density = 7.659 Mg/m³; total magnetic moment = 0.22 μB per atom; crystal system = tetragonal; relative energy among the computed polymorphs = 266 meV per atom
1.0
-3.7259 -4.3502 -3.8613
3.3487 -5.3536 2.8002
-4.1303 4.5236 5.0678
Ba O La Pt
2 10 4 2
Direct
0.2500 0.2500 0.5000
0.7500 0.7500 0.5000
0.5000 0.5000 0.0000
0.7430 0.2430 0.7611
0.2430 0.0181 0.7611
0.7570 0.9819 0.2389
0.9819 0.4819 0.2389
0.4819 0.2570 0.2389
0.0181 0.5181 0.7611
0.0000 0.0000 0.0000
0.5181 0.7430 0.7611
0.2570 0.7570 0.2389
0.1756 0.3244 0.0000
0.6756 0.1756 0.0000
0.3244 0.8244 0.0000
0.8244 0.6756 0.0000
0.2500 0.7500 0.5000
0.7500 0.2500 0.5000

***

Entry 10:
BaLa2PtO5 | Alexandria via LeMat-Bulk | GGA-PBE | relaxed; calculated density = 7.919 Mg/m³; total magnetic moment = 0.00 μB per atom; crystal system = tetragonal; relative energy among the computed polymorphs = 0 meV per atom
1.0
-2.5224 5.7931 2.8863
-0.4853 -3.2583 6.1157
5.5736 1.7436 1.3713
O La Ba Pt
10 4 2 2
Direct
0.5000 0.5000 0.5000
0.1411 0.6411 0.2482
0.6411 0.8589 0.7518
0.8589 0.3589 0.7518
0.1411 0.6411 0.7518
0.3589 0.1411 0.2482
0.0000 0.0000 0.5000
0.6411 0.8589 0.2482
0.3589 0.1411 0.7518
0.8589 0.3589 0.2482
0.3230 0.8230 0.5000
0.6770 0.1770 0.5000
0.1770 0.3230 0.5000
0.8230 0.6770 0.5000
0.5000 0.5000 0.0000
0.0000 0.0000 0.0000
0.0000 0.5000 0.0000
0.5000 0.0000 0.0000

***

Entry 11:
Ba2LaPtO5 | Alexandria via LeMat-Bulk | GGA-PBE | relaxed; calculated density = 7.491 Mg/m³; total magnetic moment = 0.12 μB per atom; crystal system = tetragonal; total DFT energy (no corrections) = -6.425 eV per atom
1.0
-1.0226 -6.2983 -0.4149
4.4554 -1.0642 5.1735
-5.1649 0.5383 4.5587
O La Pt Ba
10 2 2 4
Direct
0.2031 0.8456 0.3456
0.7969 0.8456 0.3456
0.7969 0.1544 0.6544
0.2031 0.1544 0.6544
0.5000 0.0000 0.0000
0.2031 0.3456 0.1544
0.7969 0.3456 0.1544
0.2031 0.6544 0.8456
0.5000 0.5000 0.5000
0.7969 0.6544 0.8456
0.0000 0.5000 0.5000
0.0000 0.0000 0.0000
0.0000 0.5000 0.0000
0.0000 0.0000 0.5000
0.5000 0.3324 0.8324
0.5000 0.6676 0.1676
0.5000 0.8324 0.6676
0.5000 0.1676 0.3324

***

Entry 12:
BaLaPuO6 | Alexandria via LeMat-Bulk | GGA-PBE | relaxed; calculated density = 5.996 Mg/m³; total magnetic moment = 0.11 μB per atom; crystal system = trigonal; total DFT energy (no corrections) = -8.504 eV per atom
1.0
-5.9090 0.8080 -1.3001
1.6934 -4.3573 3.9250
-0.8174 6.8818 7.9924
O La Pu Ba
12 2 2 2
Direct
0.9529 0.3494 0.1467
0.3965 0.3494 0.3533
0.0471 0.6506 0.8533
0.6035 0.9529 0.8533
0.6506 0.0471 0.3533
0.3494 0.3965 0.8533
0.0471 0.3965 0.6467
0.3965 0.0471 0.1467
0.6506 0.6035 0.1467
0.3494 0.9529 0.6467
0.9529 0.6035 0.3533
0.6035 0.6506 0.6467
0.3333 0.6667 0.2500
0.6667 0.3333 0.7500
0.3333 0.6667 0.7500
0.6667 0.3333 0.2500
0.0000 0.0000 0.5000
0.0000 0.0000 0.0000